Ba3AlGa2 | PBE | relaxed

```
Ba3AlGa2
1.0
7.996 0.000 0.000
0.000 10.738 0.000
-1.731 0.000 10.637
Ba Al Ga
12 4 8
Cartesian
1.004 0.999 4.351
0.138 4.370 9.670
1.137 7.438 6.777
2.003 8.669 1.458
0.835 0.264 8.750
1.700 5.105 3.432
4.564 5.633 7.205
5.430 10.474 1.887
4.262 2.069 9.179
5.128 3.300 3.860
6.127 6.369 0.967
5.261 9.739 6.286
0.506 0.993 0.724
-0.360 4.376 6.042
6.625 6.362 4.595
5.759 9.745 9.913
-1.409 7.514 9.143
-0.544 8.593 3.824
2.750 1.993 1.498
1.884 3.376 6.817
4.381 7.362 3.820
3.515 8.745 9.139
6.809 2.145 6.813
7.674 3.224 1.494
```

Results
Calculated total energy: -2.85 eV per atom
Total moment: 0.00 μB per cell
ΔE_f: -1.53 eV/f.u.
Relative energy among the computed polymorphs: 0.000 eV per atom